SrEuMgAu after structural relaxation. Source: Alexandria via LeMat-Bulk, functional PBE.

SG   F-43m
Calculated density   6.39 g/cm³
Total magnetization   7.3 μB/cell
DFT formation energy   -346.2 meV per atom

Cell lengths 5.534, 5.534, 5.534 Å; angles 60.00, 60.00, 60.00 degrees
Site moments in Bohr magnetons follow the coordinates.
Sites, in units of the cell vectors:
Eu1 0.250 0.250 0.250  6.88
Sr1 0.750 0.750 0.750  0.02
Mg1 0.000 0.000 0.000  0.01
Au1 0.500 0.500 0.500  0.00

YAg after structural relaxation. Source: Alexandria via LeMat-Bulk, functional PBE.

SG   P6_3/mmc
Calculated density   6.09 g/cm³
Total magnetization   0.0 μB/cell
DFT formation energy   -148.8 meV per atom

Cell lengths 8.759, 8.759, 4.842 Å; angles 90.00, 90.00, 120.00 degrees
Sites, in units of the cell vectors:
Y1 0.813 0.627 0.250
Y2 0.187 0.813 0.750
Y3 0.373 0.187 0.250
Y4 0.187 0.373 0.750
Y5 0.813 0.187 0.250
Y6 0.627 0.813 0.750
Ag1 0.443 0.886 0.250
Ag2 0.557 0.443 0.750
Ag3 0.114 0.557 0.250
Ag4 0.557 0.114 0.750
Ag5 0.443 0.557 0.250
Ag6 0.886 0.443 0.750

Th3Sc2 after structural relaxation. Source: Alexandria via LeMat-Bulk, functional PBE.

SG   C2/m
Calculated density   8.63 g/cm³
Total magnetization   0.0 μB/cell
DFT formation energy   337.7 meV per atom

Cell lengths 6.135, 5.868, 9.287 Å; angles 71.58, 84.53, 72.42 degrees
Sites, in units of the cell vectors:
Th1 0.222 0.770 0.000
Th2 0.778 0.230 0.000
Th3 0.275 0.386 0.800
Th4 0.725 0.814 0.800
Th5 0.275 0.186 0.200
Th6 0.725 0.614 0.200
Sc1 0.000 0.797 0.405
Sc2 0.000 0.203 0.595
Sc3 0.500 0.500 0.500
Sc4 0.500 0.000 0.500

Tl8Bi2Pb3 after structural relaxation. Source: Alexandria via LeMat-Bulk, functional PBE.

SG   C2/m
Calculated density   9.94 g/cm³
Total magnetization   0.0 μB/cell
DFT formation energy   58.2 meV per atom

Cell lengths 6.981, 9.417, 8.383 Å; angles 124.17, 99.43, 90.00 degrees
Sites, in units of the cell vectors:
Tl1 0.837 0.575 0.149
Tl2 0.163 0.425 0.851
Tl3 0.782 0.222 0.443
Tl4 0.218 0.778 0.557
Tl5 0.539 0.572 0.752
Tl6 0.539 0.180 0.752
Tl7 0.461 0.820 0.248
Tl8 0.461 0.428 0.248
Bi1 0.232 0.183 0.367
Bi2 0.768 0.817 0.633
Pb1 0.500 0.000 0.000
Pb2 0.000 0.185 0.000
Pb3 0.000 0.815 0.000

Sc2VGe after structural relaxation. Source: Alexandria via LeMat-Bulk, functional PBE.

SG   P4/mmm
Calculated density   4.80 g/cm³
Total magnetization   2.7 μB/cell
DFT formation energy   -272.4 meV per atom

Cell lengths 3.757, 4.435, 4.435 Å; angles 90.00, 90.00, 90.00 degrees
Site moments in Bohr magnetons follow the coordinates.
Sites, in units of the cell vectors:
Sc1 0.000 0.000 0.500  0.10
Sc2 0.000 0.500 0.000  0.10
Ge1 0.500 0.000 0.000  -0.05
V1 0.500 0.500 0.500  2.04

CaPmCuNi after structural relaxation. Source: Alexandria via LeMat-Bulk, functional PBE.

SG   F-43m
Calculated density   5.99 g/cm³
Total magnetization   0.0 μB/cell
DFT formation energy   -129.7 meV per atom

Cell lengths 4.939, 4.939, 4.939 Å; angles 60.00, 60.00, 60.00 degrees
Sites, in units of the cell vectors:
Ni1 0.750 0.750 0.750
Ca1 0.500 0.500 0.500
Cu1 0.250 0.250 0.250
Pm1 0.000 0.000 0.000

SrCrNi after structural relaxation. Source: Alexandria via LeMat-Bulk, functional PBE.

SG   Cm
Calculated density   4.54 g/cm³
Total magnetization   0.3 μB/cell
DFT formation energy   346.3 meV per atom

Cell lengths 4.986, 3.998, 8.185 Å; angles 104.15, 112.91, 89.99 degrees
Site moments in Bohr magnetons follow the coordinates.
Sites, in units of the cell vectors:
Sr1 0.466 0.300 0.401  -0.01
Sr2 0.202 0.985 0.771  0.01
Ni1 0.468 0.639 0.079  -0.04
Ni2 0.946 0.769 0.338  0.03
Cr1 0.793 0.165 0.132  -2.92
Cr2 0.949 0.608 0.018  3.07

Dy4Te3Pt after structural relaxation. Source: Alexandria via LeMat-Bulk, functional PBE.

SG   Pmmn
Calculated density   7.40 g/cm³
Total magnetization   1.1 μB/cell
Energy relative to the elements, uncorrected   -1031.6 meV per atom

Cell lengths 6.053, 9.053, 10.050 Å; angles 90.00, 90.00, 90.00 degrees
Site moments in Bohr magnetons follow the coordinates.
Sites, in units of the cell vectors:
Dy1 0.064 0.832 0.000  0.09
Dy2 0.565 0.134 0.000  0.07
Dy3 0.064 0.306 0.213  0.06
Dy4 0.564 0.694 0.287  0.06
Dy5 0.065 0.866 0.500  0.07
Dy6 0.564 0.168 0.500  0.09
Dy7 0.564 0.694 0.713  0.06
Dy8 0.064 0.306 0.787  0.06
Te1 0.564 0.794 0.000  0.00
Te2 0.064 0.648 0.259  0.00
Te3 0.564 0.352 0.241  0.00
Te4 0.064 0.206 0.500  0.00
Te5 0.564 0.352 0.759  0.00
Te6 0.064 0.648 0.741  0.00
Pt1 0.065 0.129 0.000  0.03
Pt2 0.565 0.871 0.500  0.03

Sc4SbPSe2 after structural relaxation. Source: Alexandria via LeMat-Bulk, functional PBE.

SG   P2/m
Calculated density   4.76 g/cm³
Total magnetization   0.0 μB/cell
Energy relative to the elements, uncorrected   -1417.1 meV per atom

Cell lengths 3.899, 6.779, 6.862 Å; angles 70.70, 90.00, 90.00 degrees
Sites, in units of the cell vectors:
Sc1 0.000 0.748 0.728
Sc2 0.000 0.252 0.272
Sc3 0.500 0.735 0.274
Sc4 0.500 0.265 0.726
Sb1 0.500 0.500 0.000
P1 0.000 0.500 0.500
Se1 0.000 0.000 0.000
Se2 0.500 0.000 0.500

K2Ba2Te after structural relaxation. Source: Alexandria via LeMat-Bulk, functional PBE.

SG   I4/mmm
Calculated density   2.84 g/cm³
Total magnetization   0.4 μB/cell
Energy relative to the elements, uncorrected   -33.3 meV per atom

Cell lengths 5.200, 5.200, 11.035 Å; angles 76.37, 76.37, 90.00 degrees
Sites, in units of the cell vectors:
K1 0.426 0.426 0.149
K2 0.574 0.574 0.851
Te1 0.000 0.000 0.000
Ba1 0.750 0.250 0.500
Ba2 0.250 0.750 0.500